This record from the Alexandria database describes a relaxed PaNbC2 crystal. The functional is PBE.

Its total energy is -120.1 eV per cell. For the distance to the lowest polymorph of the same formula, the calculation gives 36 meV/atom. The value obtained for the density of states at the Fermi level is 5.75 states/eV per cell. The formation energy comes out at -0.508 eV/atom.

The space group is R-3m (No. 166, hexagonal axes) and the conventional cell measures 3.3360, 3.3360 and 16.9769 Å, with angles of 90.00, 90.00 and 120.00 degrees. Symmetry generates all atoms from Pa at (0.0000, 0.0000, 0.0000), Nb at (0.0000, 0.0000, 0.5000) and C at (0.0000, 0.0000, 0.2413).


This record from the Alexandria database describes a relaxed Hf2ThCu6 crystal. The functional is PBE.

Its total energy is -104.9 eV per cell. The value obtained for the density of states at the Fermi level is 17.16 states/eV per cell. The formation energy comes out at -0.058 eV/atom.

The space group is C2/m (No. 12) and the conventional cell measures 13.277, 7.367 and 3.220 Å, with angles of 90.00, 103.36 and 90.00 degrees. Symmetry generates all atoms from Hf at (0.144, 0.000, 0.133), Th at (0.000, 0.500, 0.000), Cu at (0.000, 0.168, 0.500) and Cu at (0.178, 0.312, 0.670).


This record from the Alexandria database describes a relaxed Pu3BiSb2 crystal. The functional is PBE.

Its total energy is -232.3 eV per cell. For the distance to the lowest polymorph of the same formula, the calculation gives 0 meV/atom. The value obtained for the density of states at the Fermi level is 151.44 states/eV per cell. Its uncorrected formation energy is -492 meV/atom.

The space group is C2/c (No. 15) and the conventional cell measures 7.732, 13.379 and 7.717 Å, with angles of 90.00, 109.48 and 90.00 degrees. Symmetry generates all atoms from Pu at (0.241, 0.086, 0.498), Pu at (0.250, 0.250, 0.000), Bi at (0.000, 0.419, 0.750), Sb at (0.000, 0.084, 0.750) and Sb at (0.000, 0.253, 0.250).